VASP calculation (PBE-GGA) on crystalline BaSr2CaCd at its relaxed geometry.

E_tot: -1.67 eV/atom
space group: P4/mmm, No. 123

a = 6.430 Å, b = 6.430 Å, c = 6.186 Å
α = 90.00°, β = 90.00°, γ = 90.00°
Fractional positions:
Sr  0.500  0.000  0.000
Ca  0.000  0.000  0.500
Sr  0.000  0.500  0.000
Cd  0.000  0.000  0.000
Ba  0.500  0.500  0.500